(1)
The following is a DFT calculation (PBE) of a relaxed Ca3Cd2Pt3 crystal.

Results
Calculated formation energy, eV per atom: -0.6873
Fermi-level density of states, states/eV/atom: 0.36
E_tot, eV per atom: -3.932
Total moment, μB per formula unit: 0.0

a = 8.4791 Å, b = 8.4791 Å, c = 5.8401 Å
α = 90.00°, β = 90.00°, γ = 120.00°
Space group P6_3/mcm (No. 193)
Unique sites:
Ca 0.0000 0.2756 0.2500 (multiplicity 6)
Cd 0.3333 0.6667 0.0000 (multiplicity 4)
Pt 0.0000 0.3892 0.7500 (multiplicity 6)

---

(2)
The following is a DFT calculation (PBE) of a relaxed TiBeF2 crystal.

Results
Raw formation energy, eV/atom: -1.399
Fermi-level density of states, states/eV/atom: 0.25
Polymorph energy (0 for the lowest one), meV/atom: 346
E_tot, eV per atom: -5.240
Total moment, μB per formula unit: 3.1

a = 7.5213 Å, b = 7.5213 Å, c = 7.5213 Å
α = 90.00°, β = 90.00°, γ = 90.00°
Space group Fd-3m (No. 227, origin choice 2)
Unique sites:
Ti 0.1250 0.1250 0.1250 (multiplicity 8)
Be 0.1250 0.1250 0.6250 (multiplicity 8)
F 0.0000 0.0000 0.5000 (multiplicity 16)

---

Calculated values (g cm⁻³) of calculated density for the records, taken in order: 8.50, 2.96.